# 1
## AlCd2Br (meta-GGA SCAN)

Data for a crystal of AlCd2Br relaxed with PBEsol.

## Properties
Its space-group type is I-42d (122). For the distance to the lowest polymorph of the same formula, the calculation gives 0.0 meV/atom. The calculation puts the energy relative to the elements, uncorrected at 0.043 eV per atom. For the density of states at the Fermi level, the calculation gives 1.8 states/eV per cell. The calculation puts the size of the total moment at 0.00 μB per cell.

Cell: 6.889 7.136 6.889 Å, 61.14 90.00 118.86°
Fractional coordinates of all 8 atoms:
Al  0.250  0.500  0.250
Al  0.500  0.000  0.500
Br  0.750  0.500  0.750
Br  0.000  0.000  0.000
Cd  0.601  0.750  0.375
Cd  0.149  0.750  0.875
Cd  0.875  0.250  0.601
Cd  0.375  0.250  0.149

***

# 2
## AlCoBr2 (meta-GGA SCAN)

Data for a crystal of AlCoBr2 relaxed with PBEsol.

## Properties
Its space-group type is Cmmm (65). For the distance to the lowest polymorph of the same formula, the calculation gives 393.6 meV/atom. The calculation puts the energy relative to the elements, uncorrected at 0.076 eV per atom. For the density of states at the Fermi level, the calculation gives 3.5 states/eV per cell. The calculation puts the size of the total moment at 2.03 μB per cell.

Cell: 3.531 3.467 8.233 Å, 90.00 90.00 120.61°
Fractional coordinates of all 4 atoms:
Co  0.500  0.000  0.500
Al  0.500  0.000  0.000
Br  0.000  0.000  0.702
Br  0.000  0.000  0.298

***

# 3
## AlCoBr2 (meta-GGA SCAN)

Data for a crystal of AlCoBr2 relaxed with PBEsol.

## Properties
Its space-group type is I-42d (122). For the distance to the lowest polymorph of the same formula, the calculation gives 258.5 meV/atom. The calculation puts the energy relative to the elements, uncorrected at -0.060 eV per atom. For the density of states at the Fermi level, the calculation gives 2.0 states/eV per cell. The calculation puts the size of the total moment at 1.74 μB per cell.

Cell: 4.642 6.603 6.603 Å, 82.90 69.42 69.42°
Fractional coordinates of all 8 atoms:
Co  0.750  0.500  0.500
Co  0.000  0.000  0.000
Al  0.250  0.500  0.500
Al  0.500  0.000  0.000
Br  0.973  0.152  0.652
Br  0.777  0.848  0.348
Br  0.375  0.652  0.848
Br  0.875  0.348  0.152

***

# 4
## AlCo2Br2 (meta-GGA SCAN)

Data for a crystal of AlCo2Br2 relaxed with PBEsol.

## Properties
Its space-group type is I4/mmm (139). The calculation puts the energy relative to the elements, uncorrected at 0.505 eV per atom. For the density of states at the Fermi level, the calculation gives 4.2 states/eV per cell. The calculation puts the size of the total moment at 3.33 μB per cell.

Cell: 3.383 3.383 8.548 Å, 101.41 101.41 90.00°
Fractional coordinates of all 5 atoms:
Co  0.250  0.750  0.500
Co  0.750  0.250  0.500
Al  0.000  0.000  0.000
Br  0.365  0.365  0.731
Br  0.635  0.635  0.269

***

# 5
## AlCoBr2 (meta-GGA SCAN)

Data for a crystal of AlCoBr2 relaxed with PBEsol.

## Properties
Its space-group type is Immm (71). For the distance to the lowest polymorph of the same formula, the calculation gives 0.0 meV/atom. The calculation puts the energy relative to the elements, uncorrected at -0.318 eV per atom. For the density of states at the Fermi level, the calculation gives 0.3 states/eV per cell. The calculation puts the size of the total moment at 2.00 μB per cell.

Cell: 3.334 3.700 7.244 Å, 104.80 103.30 90.00°
Fractional coordinates of all 4 atoms:
Co  0.500  0.000  0.000
Al  0.000  0.500  0.000
Br  0.858  0.858  0.717
Br  0.142  0.142  0.283

***

# 6
## AlCoBr2 (meta-GGA SCAN)

Data for a crystal of AlCoBr2 relaxed with PBEsol.

## Properties
Its space-group type is Pmmm (47). For the distance to the lowest polymorph of the same formula, the calculation gives 581.7 meV/atom. The calculation puts the energy relative to the elements, uncorrected at 0.264 eV per atom. For the density of states at the Fermi level, the calculation gives 1.0 states/eV per cell. The calculation puts the size of the total moment at 1.88 μB per cell.

Cell: 3.298 4.117 5.956 Å, 90.00 90.00 90.00°
Fractional coordinates of all 4 atoms:
Co  0.500  0.500  0.000
Al  0.000  0.500  0.500
Br  0.000  0.000  0.000
Br  0.500  0.000  0.500

***

# 7
## AlCoBr3 (meta-GGA SCAN)

Data for a crystal of AlCoBr3 relaxed with PBEsol.

## Properties
Its space-group type is Pm-3m (221). The calculation puts the energy relative to the elements, uncorrected at -0.170 eV per atom. For the density of states at the Fermi level, the calculation gives 3.0 states/eV per cell. The calculation puts the size of the total moment at 1.56 μB per cell.

Cell: 4.866 4.866 4.866 Å, 90.00 90.00 90.00°
Fractional coordinates of all 5 atoms:
Co  0.000  0.000  0.000
Al  0.500  0.500  0.500
Br  0.000  0.500  0.000
Br  0.000  0.000  0.500
Br  0.500  0.000  0.000

***

# 8
## AlCoBr (meta-GGA SCAN)

Data for a crystal of AlCoBr relaxed with PBEsol.

## Properties
Its space-group type is P-6m2 (187). The calculation puts the energy relative to the elements, uncorrected at 0.564 eV per atom. For the density of states at the Fermi level, the calculation gives 0.9 states/eV per cell. The calculation puts the size of the total moment at 0.86 μB per cell.

Cell: 3.103 4.146 4.146 Å, 120.00 90.00 90.00°
Fractional coordinates of all 3 atoms:
Co  0.500  0.667  0.333
Al  0.000  0.000  0.000
Br  0.500  0.333  0.667

***

# 9
## AlCoBr2 (meta-GGA SCAN)

Data for a crystal of AlCoBr2 relaxed with PBEsol.

## Properties
Its space-group type is R-3m (166). For the distance to the lowest polymorph of the same formula, the calculation gives 527.5 meV/atom. The calculation puts the energy relative to the elements, uncorrected at 0.209 eV per atom. For the density of states at the Fermi level, the calculation gives 0.9 states/eV per cell. The calculation puts the size of the total moment at 2.00 μB per cell.

Cell: 3.432 3.432 9.062 Å, 79.09 79.09 60.00°
Fractional coordinates of all 4 atoms:
Co  0.000  0.000  0.000
Al  0.500  0.500  0.500
Br  0.915  0.915  0.254
Br  0.085  0.085  0.746

***

# 10
## AlCoBr2 (meta-GGA SCAN)

Data for a crystal of AlCoBr2 relaxed with PBEsol.

## Properties
Its space-group type is Cmm2 (35). For the distance to the lowest polymorph of the same formula, the calculation gives 170.8 meV/atom. The calculation puts the energy relative to the elements, uncorrected at -0.147 eV per atom. For the density of states at the Fermi level, the calculation gives 0.7 states/eV per cell. The calculation puts the size of the total moment at 2.00 μB per cell.

Cell: 3.267 3.461 8.865 Å, 90.00 90.00 118.17°
Fractional coordinates of all 4 atoms:
Co  0.000  0.000  0.516
Al  0.500  0.000  0.722
Br  0.000  0.000  0.937
Br  0.500  0.000  0.325

***

# 11
## AlCo2Br (meta-GGA SCAN)

Data for a crystal of AlCo2Br relaxed with PBEsol.

## Properties
Its space-group type is I-42d (122). The calculation puts the energy relative to the elements, uncorrected at 0.634 eV per atom. For the density of states at the Fermi level, the calculation gives 3.9 states/eV per cell. The calculation puts the size of the total moment at 4.85 μB per cell.

Cell: 5.385 5.385 6.356 Å, 115.06 115.06 90.00°
Fractional coordinates of all 8 atoms:
Co  0.364  0.875  0.250
Co  0.886  0.375  0.250
Co  0.125  0.114  0.750
Co  0.625  0.636  0.750
Al  0.750  0.250  0.500
Al  0.500  0.500  0.000
Br  0.250  0.750  0.500
Br  0.000  0.000  0.000

***

# 12
## AlCrBr (meta-GGA SCAN)

Data for a crystal of AlCrBr relaxed with PBEsol.

## Properties
Its space-group type is F-43m (216). For the distance to the lowest polymorph of the same formula, the calculation gives 382.8 meV/atom. The calculation puts the energy relative to the elements, uncorrected at 0.485 eV per atom. For the density of states at the Fermi level, the calculation gives 1.9 states/eV per cell. The calculation puts the size of the total moment at 3.95 μB per cell.

Cell: 4.469 4.469 4.469 Å, 60.00 60.00 60.00°
Fractional coordinates of all 3 atoms:
Cr  0.250  0.250  0.250
Al  0.000  0.000  0.000
Br  0.500  0.500  0.500

***

Question: Look up the size of the total moment of the fourth one.
Answer: 3.33 μB per cell